Below is a relaxed structure of VAg2Cl5, with properties calculated at the PBE-GGA level.

Summary:
* raw total energy: -3.78 eV per atom
* crystal system: triclinic
* raw formation energy: -0.777 eV/atom

a = 6.388 Å, b = 7.052 Å, c = 7.070 Å
α = 78.99°, β = 64.44°, γ = 64.60°
Element x y z (fractional)
V 0.000 0.000 0.000
Ag 0.387 0.424 0.990
Ag 0.387 0.989 0.425
Cl 0.237 0.097 0.098
Cl 0.384 0.752 0.752
Cl 0.616 0.249 0.248
Cl 0.894 0.726 0.169
Cl 0.896 0.169 0.726



Below is a relaxed structure of BeNi2Au, with properties calculated at the PBE-GGA level.

Summary:
* formation energy from the elements: 3.4 kJ per mole of atoms
* raw total energy: -4.61 eV per atom
* density of states at the Fermi level: 3.1 states/eV per cell
* crystal system: orthorhombic

a = 4.265 Å, b = 4.265 Å, c = 2.823 Å
α = 90.00°, β = 90.00°, γ = 105.98°
Element x y z (fractional)
Be 0.000 0.000 0.000
Ni 0.000 0.500 0.500
Ni 0.500 0.000 0.500
Au 0.500 0.500 0.000